[1]
Compound: ThZn6Au6
Source: Alexandria via LeMat-Bulk
Functional: PBE
Structure: optimized geometry

* total magnetization: 0.00 μB/cell
* volume: 459.3 Å³/cell
* DOS(E_F): 0.39 states/eV per atom
* ΔH_f (0 K): -0.338 eV per atom

```
data_ThZn6Au6
_chemical_formula_sum 'Th2 Zn12 Au12'
_cell_length_a 5.256
_cell_length_b 9.137
_cell_length_c 9.563
_cell_angle_alpha 90.00
_cell_angle_beta 90.00
_cell_angle_gamma 90.00
_space_group_name_H-M_alt 'I m m m'
_space_group_IT_number 71
_space_group_name_Hall '-I 2 2'
loop_
_atom_site_label
_atom_site_fract_x
_atom_site_fract_y
_atom_site_fract_z
Th1 0.000 0.000 0.000
Zn1 0.000 0.256 0.500
Zn2 0.250 0.250 0.250
Au1 0.000 0.000 0.341
Au2 0.000 0.335 0.000
Au3 0.000 0.500 0.322
```

---

[2]
Compound: Th2Zn3Au2
Source: Alexandria via LeMat-Bulk
Functional: PBE
Structure: optimized geometry

* total magnetization: 0.00 μB/cell
* volume: 298.4 Å³/cell
* energy above the lowest structure with this stoichiometry: 0.0000 eV/atom
* DOS(E_F): 0.62 states/eV per atom
* ΔH_f (0 K): -0.480 eV per atom

```
data_Th2Zn3Au2
_chemical_formula_sum 'Th4 Zn6 Au4'
_cell_length_a 10.327
_cell_length_b 4.571
_cell_length_c 6.765
_cell_angle_alpha 90.00
_cell_angle_beta 110.86
_cell_angle_gamma 90.00
_space_group_name_H-M_alt 'C 1 2/m 1'
_space_group_IT_number 12
_space_group_name_Hall '-C 2y'
loop_
_atom_site_label
_atom_site_fract_x
_atom_site_fract_y
_atom_site_fract_z
Th1 0.146 0.000 0.269
Zn1 0.000 0.500 0.500
Zn2 0.095 0.500 0.917
Au1 0.156 0.000 0.741
```